(1)
## Ca2AgAs (GGA-PBE)

Data for Ca2AgAs after structural relaxation.

a = 4.0884 Å, b = 4.4296 Å, c = 11.1902 Å
α = 90.00°, β = 90.00°, γ = 90.00°
Space group Imm2 (No. 44)
One atom of each set of equivalent atoms:
Ca 0.0000 0.0000 0.0000 (multiplicity 2)
Ca 0.0000 0.5000 0.2343 (multiplicity 2)
Ag 0.0000 0.0000 0.4557 (multiplicity 2)
As 0.0000 0.5000 0.7756 (multiplicity 2)

Output
**Magnetization**: 0.086 μB per cell
**Energy**: -0.251 Ry per atom


(2)
## BaPm5Se8 (GGA-PBE)

Data for BaPm5Se8 after structural relaxation.

a = 12.4461 Å, b = 12.4461 Å, c = 12.4461 Å
α = 90.00°, β = 90.00°, γ = 90.00°
Space group F-43m (No. 216)
One atom of each set of equivalent atoms:
Ba 0.0000 0.0000 0.0000 (multiplicity 4)
Pm 0.1266 0.1266 0.6266 (multiplicity 16)
Pm 0.2500 0.2500 0.2500 (multiplicity 4)
Se 0.1176 0.1176 0.3824 (multiplicity 16)
Se 0.1410 0.1410 0.8590 (multiplicity 16)

Output
**Magnetization**: 0.000 μB per cell
**E_form (uncorrected)**: -1795 meV per atom
**Energy**: -0.413 Ry per atom


(3)
## Na6PdPb2 (GGA-PBE)

Data for Na6PdPb2 after structural relaxation.

a = 8.6491 Å, b = 16.4120 Å, c = 3.7340 Å
α = 90.00°, β = 103.81°, γ = 90.00°
Space group C2/m (No. 12)
One atom of each set of equivalent atoms:
Na 0.1771 0.1726 0.2912 (multiplicity 8)
Na 0.2055 0.0000 0.8234 (multiplicity 4)
Pd 0.0000 0.5000 0.5000 (multiplicity 2)
Pb 0.0000 0.3666 0.0000 (multiplicity 4)

Output
**Offset from the most stable computed form**: 0.026 eV per atom
**Magnetization**: 0.000 μB per cell
**Energy**: -0.176 Ry per atom


(4)
## RbGaBr4 (GGA-PBE)

Data for RbGaBr4 after structural relaxation.

a = 9.1911 Å, b = 10.6613 Å, c = 12.1640 Å
α = 90.00°, β = 125.15°, γ = 90.00°
Space group P2_1/c (No. 14)
One atom of each set of equivalent atoms:
Rb 0.1824 0.1702 0.2758 (multiplicity 4)
Ga 0.2983 0.6758 0.1942 (multiplicity 4)
Br 0.0898 0.6564 0.6127 (multiplicity 4)
Br 0.1991 0.5182 0.2730 (multiplicity 4)
Br 0.3200 0.6109 0.0185 (multiplicity 4)
Br 0.4130 0.2429 0.1296 (multiplicity 4)

Output
**Magnetization**: 0.000 μB per cell
**E_form (uncorrected)**: -1203 meV per atom
**Energy**: -0.219 Ry per atom


(5)
## BaCS (GGA-PBE)

Data for BaCS after structural relaxation.

a = 8.1238 Å, b = 4.7503 Å, c = 8.9364 Å
α = 90.00°, β = 98.07°, γ = 90.00°
Space group Cm (No. 8)
One atom of each set of equivalent atoms:
Ba 0.0000 0.0000 0.0000 (multiplicity 2)
Ba 0.1025 0.5000 0.5903 (multiplicity 2)
C 0.3328 0.5000 0.3469 (multiplicity 2)
C 0.4307 0.5000 0.4692 (multiplicity 2)
S 0.1902 0.5000 0.1921 (multiplicity 2)
S 0.3124 0.0000 0.8173 (multiplicity 2)

Output
**Offset from the most stable computed form**: 0.014 eV per atom
**Magnetization**: 0.000 μB per cell
**E_form (uncorrected)**: -823 meV per atom
**Energy**: -0.435 Ry per atom


(6)
## CdOsCl (GGA-PBE)

Data for CdOsCl after structural relaxation.

a = 6.3820 Å, b = 6.3820 Å, c = 6.3820 Å
α = 90.00°, β = 90.00°, γ = 90.00°
Space group F-43m (No. 216)
One atom of each set of equivalent atoms:
Cd 0.0000 0.0000 0.0000 (multiplicity 4)
Os 0.2500 0.2500 0.7500 (multiplicity 4)
Cl 0.0000 0.0000 0.5000 (multiplicity 4)

Output
**Offset from the most stable computed form**: 0.686 eV per atom
**Magnetization**: 8.950 μB per cell
**E_form (uncorrected)**: 1293 meV per atom
**Energy**: -0.248 Ry per atom


(7)
## La2ZnAs3Pd4 (GGA-PBE)

Data for La2ZnAs3Pd4 after structural relaxation.

a = 4.3653 Å, b = 4.3653 Å, c = 10.3603 Å
α = 90.00°, β = 90.00°, γ = 90.00°
Space group P-4m2 (No. 115)
One atom of each set of equivalent atoms:
La 0.0000 0.5000 0.2425 (multiplicity 2)
Zn 0.0000 0.0000 0.5000 (multiplicity 1)
As 0.0000 0.5000 0.8643 (multiplicity 2)
As 0.5000 0.5000 0.5000 (multiplicity 1)
Pd 0.0000 0.0000 0.0000 (multiplicity 1)
Pd 0.0000 0.5000 0.6259 (multiplicity 2)
Pd 0.5000 0.5000 0.0000 (multiplicity 1)

Output
**Magnetization**: 0.000 μB per cell
**Energy**: -0.404 Ry per atom


(8)
## Ta2OF (GGA-PBE)

Data for Ta2OF after structural relaxation.

a = 5.8845 Å, b = 5.8845 Å, c = 5.8845 Å
α = 90.00°, β = 90.00°, γ = 90.00°
Space group Fm-3m (No. 225)
One atom of each set of equivalent atoms:
Ta 0.2500 0.2500 0.2500 (multiplicity 8)
O 0.0000 0.0000 0.0000 (multiplicity 4)
F 0.0000 0.0000 0.5000 (multiplicity 4)

Output
**Offset from the most stable computed form**: 0.823 eV per atom
**Magnetization**: 0.000 μB per cell
**E_form (uncorrected)**: -208 meV per atom
**Energy**: -0.576 Ry per atom


(9)
## BeCdSn3 (GGA-PBE)

Data for BeCdSn3 after structural relaxation.

a = 5.4963 Å, b = 5.4963 Å, c = 5.4963 Å
α = 90.00°, β = 90.00°, γ = 90.00°
Space group Pm-3m (No. 221)
One atom of each set of equivalent atoms:
Be 0.0000 0.0000 0.0000 (multiplicity 1)
Cd 0.5000 0.5000 0.5000 (multiplicity 1)
Sn 0.0000 0.5000 0.5000 (multiplicity 3)

Output
**Offset from the most stable computed form**: 0.747 eV per atom
**Magnetization**: 0.000 μB per cell
**Energy**: -0.166 Ry per atom


(10)
## TaBe2Cr (GGA-PBE)

Data for TaBe2Cr after structural relaxation.

a = 3.0948 Å, b = 3.0948 Å, c = 5.2275 Å
α = 90.00°, β = 90.00°, γ = 90.00°
Space group P4mm (No. 99)
One atom of each set of equivalent atoms:
Ta 0.0000 0.0000 0.0000 (multiplicity 1)
Be 0.0000 0.0000 0.5128 (multiplicity 1)
Be 0.5000 0.5000 0.2816 (multiplicity 1)
Cr 0.5000 0.5000 0.7579 (multiplicity 1)

Output
**Offset from the most stable computed form**: 0.355 eV per atom
**Magnetization**: 0.015 μB per cell
**Energy**: -0.509 Ry per atom


(11)
## HfScZnFe (GGA-PBE)

Data for HfScZnFe after structural relaxation.

a = 6.4472 Å, b = 6.4472 Å, c = 6.4472 Å
α = 90.00°, β = 90.00°, γ = 90.00°
Space group F-43m (No. 216)
One atom of each set of equivalent atoms:
Hf 0.0000 0.0000 0.0000 (multiplicity 4)
Sc 0.0000 0.0000 0.5000 (multiplicity 4)
Zn 0.2500 0.2500 0.2500 (multiplicity 4)
Fe 0.2500 0.2500 0.7500 (multiplicity 4)

Output
**Magnetization**: 0.735 μB per cell
**Energy**: -0.493 Ry per atom


(12)
## NaLaHgBi (GGA-PBE)

Data for NaLaHgBi after structural relaxation.

a = 7.7955 Å, b = 7.7955 Å, c = 7.7955 Å
α = 90.00°, β = 90.00°, γ = 90.00°
Space group F-43m (No. 216)
One atom of each set of equivalent atoms:
Na 0.0000 0.0000 0.0000 (multiplicity 4)
La 0.0000 0.0000 0.5000 (multiplicity 4)
Hg 0.2500 0.2500 0.7500 (multiplicity 4)
Bi 0.2500 0.2500 0.2500 (multiplicity 4)

Output
**Magnetization**: 0.006 μB per cell
**Energy**: -0.231 Ry per atom


Q: What is the magnetization in the third record?
A: 0.000 μB per cell